This record from the Alexandria database describes a relaxed CaTcH2 crystal. The functional is PBE.

Computed properties:
Uncorrected energy   -4.04 eV per atom
SG   No. 225
Distance to the lowest polymorph of the same formula   64.9 kJ per mole of atoms

Geometry as POSCAR:
```
CaTcH2
1.0
0.000 2.854 2.854
2.854 0.000 2.854
2.854 2.854 0.000
Ca Tc H
1 1 2
Cartesian
0.000 0.000 0.000
2.854 2.854 2.854
1.427 1.427 1.427
4.281 4.281 4.281
```